This record from Alexandria describes an optimized crystal structure of BaCoN2O. The functional is GGA+U.

a = 3.8181 Å, b = 3.8181 Å, c = 4.5687 Å
α = 90.00°, β = 90.00°, γ = 90.00°
Fractional coordinates of all 5 atoms:
Ba 0.0000 0.0000 0.0000
Co 0.5000 0.5000 0.5000
N 0.0000 0.5000 0.5000
N 0.5000 0.0000 0.5000
O 0.5000 0.5000 0.0000

Space-group type: P4/mmm (123)
Magnetization (μB/f.u.): 4.49
E_tot (eV per atom): -5.721
N(E_F) (states/eV per atom): 0.468
Crystal system: tetragonal